# 1
A geometry-optimized Al2ZnPb structure. Source: Alexandria via LeMat-Bulk, functional PBE-GGA.

a b c (Å): 4.556 4.556 8.099
angles (deg): 90.00 90.00 90.00
Sites, in units of the cell vectors:
Al (0.000, 0.000, 0.000)
Al (0.000, 0.500, 0.250)
Al (0.500, 0.000, 0.750)
Al (0.500, 0.500, 0.500)
Zn (0.000, 0.000, 0.500)
Zn (0.500, 0.500, 0.000)
Pb (0.000, 0.500, 0.750)
Pb (0.500, 0.000, 0.250)

Output
- ΔE to the lowest computed polymorph (meV per atom) = 78
- energy of formation (kJ per mole of atoms) = 24.7
- VASP energy (eV per atom) = -2.8604
- SG = I-4m2 (119)



# 2
A geometry-optimized Dy2UAg2S6 structure. Source: Alexandria via LeMat-Bulk, functional PBE-GGA.

a b c (Å): 7.008 7.008 6.539
angles (deg): 94.04 94.04 120.40
Sites, in units of the cell vectors:
Dy (0.165, 0.835, 0.000)
Dy (0.835, 0.165, 0.000)
U (0.500, 0.500, 0.000)
Ag (0.377, 0.623, 0.500)
Ag (0.623, 0.377, 0.500)
S (0.139, 0.473, 0.780)
S (0.205, 0.205, 0.223)
S (0.473, 0.139, 0.780)
S (0.527, 0.861, 0.220)
S (0.795, 0.795, 0.777)
S (0.861, 0.527, 0.220)

Output
- VASP energy (eV per atom) = -5.9443
- SG = C2/m (12)
- uncorrected formation energy (eV per formula unit) = -14.428



# 3
A geometry-optimized LiSi2Os structure. Source: Alexandria via LeMat-Bulk, functional PBE-GGA.

a b c (Å): 3.634 3.634 7.630
angles (deg): 90.00 90.00 90.00
Sites, in units of the cell vectors:
Li (0.000, 0.000, 0.000)
Li (0.500, 0.500, 0.500)
Si (0.000, 0.000, 0.500)
Si (0.000, 0.500, 0.750)
Si (0.500, 0.000, 0.250)
Si (0.500, 0.500, 0.000)
Os (0.000, 0.500, 0.250)
Os (0.500, 0.000, 0.750)

Output
- ΔE to the lowest computed polymorph (meV per atom) = 156
- VASP energy (eV per atom) = -6.0970
- SG = I-4m2 (119)
- uncorrected formation energy (eV per formula unit) = -0.398